Entry 1:
DFT (PBE-GGA) results for an optimized crystal structure of Pm3Sm2Bi2.

abc: 8.8357 8.8357 7.5428
angles: 115.26 115.26 26.65
Positions (direct):
Pm (0.0000, 0.0000, 0.0000)
Pm (0.2130, 0.2130, 0.2738)
Pm (0.7870, 0.7870, 0.7262)
Sm (0.1139, 0.1139, 0.7317)
Sm (0.8861, 0.8861, 0.2683)
Bi (0.4220, 0.4220, 0.6295)
Bi (0.5780, 0.5780, 0.3705)

Results
- DFT total energy: -4.7900 eV/atom
- Crystal system: monoclinic
- Energy of formation: -2.078 eV per formula unit


Entry 2:
DFT (PBE-GGA) results for an optimized crystal structure of Pm3Sm5Bi8.

abc: 9.1331 9.1331 9.1331
angles: 60.00 60.00 60.00
Positions (direct):
Pm (0.0000, 0.5000, 0.5000)
Pm (0.5000, 0.0000, 0.5000)
Pm (0.5000, 0.5000, 0.0000)
Sm (0.0000, 0.0000, 0.0000)
Sm (0.0000, 0.0000, 0.5000)
Sm (0.0000, 0.5000, 0.0000)
Sm (0.5000, 0.0000, 0.0000)
Sm (0.5000, 0.5000, 0.5000)
Bi (0.2491, 0.7500, 0.7500)
Bi (0.2496, 0.2496, 0.2496)
Bi (0.2500, 0.2500, 0.7509)
Bi (0.2500, 0.7509, 0.2500)
Bi (0.7500, 0.2491, 0.7500)
Bi (0.7500, 0.7500, 0.2491)
Bi (0.7504, 0.7504, 0.7504)
Bi (0.7509, 0.2500, 0.2500)

Results
- DFT total energy: -5.2371 eV/atom
- Crystal system: trigonal
- Energy of formation: -14.898 eV per formula unit


Entry 3:
DFT (PBE-GGA) results for an optimized crystal structure of Pm3SmBi3.

abc: 8.3859 8.3859 8.3859
angles: 67.92 67.92 67.92
Positions (direct):
Pm (0.0876, 0.3449, 0.8212)
Pm (0.1788, 0.9124, 0.6551)
Pm (0.3449, 0.8212, 0.0876)
Pm (0.6551, 0.1788, 0.9124)
Pm (0.8212, 0.0876, 0.3449)
Pm (0.9124, 0.6551, 0.1788)
Sm (0.3332, 0.3332, 0.3332)
Sm (0.6668, 0.6668, 0.6668)
Bi (0.0787, 0.6964, 0.4701)
Bi (0.3036, 0.5299, 0.9213)
Bi (0.4701, 0.0787, 0.6964)
Bi (0.5299, 0.9213, 0.3036)
Bi (0.6964, 0.4701, 0.0787)
Bi (0.9213, 0.3036, 0.5299)

Results
- DFT total energy: -5.0978 eV/atom
- Relative energy among the computed polymorphs: 95 meV/atom
- Crystal system: trigonal
- Energy of formation: -5.071 eV per formula unit


Entry 4:
DFT (PBE-GGA) results for an optimized crystal structure of Pm2Sm3Bi2.

abc: 8.8053 8.8053 7.5492
angles: 115.18 115.18 26.71
Positions (direct):
Pm (0.1154, 0.1154, 0.4959)
Pm (0.8846, 0.8846, 0.5041)
Sm (0.0000, 0.0000, 0.0000)
Sm (0.2129, 0.2129, 0.1483)
Sm (0.7871, 0.7871, 0.8517)
Bi (0.4229, 0.4229, 0.2148)
Bi (0.5771, 0.5771, 0.7852)

Results
- DFT total energy: -4.7850 eV/atom
- Crystal system: monoclinic
- Energy of formation: -2.075 eV per formula unit


Entry 5:
DFT (PBE-GGA) results for an optimized crystal structure of Pm2Sm2Bi3.

abc: 7.6761 7.6761 7.6826
angles: 98.54 98.54 34.29
Positions (direct):
Pm (0.1198, 0.1198, 0.3851)
Pm (0.8802, 0.8802, 0.6149)
Sm (0.3762, 0.3762, 0.1326)
Sm (0.6238, 0.6238, 0.8674)
Bi (0.0000, 0.0000, 0.0000)
Bi (0.2567, 0.2567, 0.7500)
Bi (0.7433, 0.7433, 0.2500)

Results
- DFT total energy: -5.0315 eV/atom
- Crystal system: monoclinic
- Energy of formation: -4.638 eV per formula unit


Entry 6:
DFT (PBE-GGA) results for an optimized crystal structure of PmSm4Bi5.

abc: 16.4420 16.4420 16.4420
angles: 164.05 164.05 22.63
Positions (direct):
Pm (0.0000, 0.0000, 0.0000)
Sm (0.2001, 0.2001, 0.0000)
Sm (0.3999, 0.3999, 0.0000)
Sm (0.6001, 0.6001, 0.0000)
Sm (0.7999, 0.7999, 0.0000)
Bi (0.1003, 0.1003, 0.0000)
Bi (0.3000, 0.3000, 0.0000)
Bi (0.5000, 0.5000, 0.0000)
Bi (0.7000, 0.7000, 0.0000)
Bi (0.8997, 0.8997, 0.0000)

Results
- DFT total energy: -5.2337 eV/atom
- Crystal system: tetragonal
- Energy of formation: -9.305 eV per formula unit


Entry 7:
DFT (PBE-GGA) results for an optimized crystal structure of Pm3SmBi2.

abc: 4.6362 4.6362 8.9368
angles: 90.00 90.00 90.00
Positions (direct):
Pm (0.0000, 0.0000, 0.0000)
Pm (0.0000, 0.5000, 0.6478)
Pm (0.5000, 0.0000, 0.3522)
Sm (0.5000, 0.5000, 0.0000)
Bi (0.0000, 0.5000, 0.2809)
Bi (0.5000, 0.0000, 0.7191)

Results
- DFT total energy: -5.1045 eV/atom
- Relative energy among the computed polymorphs: 0 meV/atom
- Crystal system: tetragonal
- Energy of formation: -3.894 eV per formula unit


Entry 8:
DFT (PBE-GGA) results for an optimized crystal structure of Pm3SmBi3.

abc: 9.6179 9.6179 9.6179
angles: 90.00 90.00 90.00
Positions (direct):
Pm (0.0708, 0.4292, 0.5708)
Pm (0.1784, 0.1784, 0.1784)
Pm (0.1783, 0.8217, 0.3217)
Pm (0.3217, 0.1783, 0.8217)
Pm (0.3216, 0.8216, 0.6784)
Pm (0.4292, 0.5708, 0.0708)
Pm (0.5708, 0.0708, 0.4292)
Pm (0.6784, 0.3216, 0.8216)
Pm (0.6783, 0.6783, 0.6783)
Pm (0.8217, 0.3217, 0.1783)
Pm (0.8216, 0.6784, 0.3216)
Pm (0.9292, 0.9292, 0.9292)
Sm (0.0718, 0.5718, 0.9282)
Sm (0.4282, 0.4282, 0.4282)
Sm (0.5718, 0.9282, 0.0718)
Sm (0.9282, 0.0718, 0.5718)
Bi (0.0002, 0.2510, 0.8745)
Bi (0.9998, 0.7510, 0.6255)
Bi (0.1255, 0.5002, 0.2490)
Bi (0.2490, 0.1255, 0.5002)
Bi (0.2510, 0.8745, 0.0002)
Bi (0.3745, 0.4998, 0.7490)
Bi (0.5002, 0.2490, 0.1255)
Bi (0.4998, 0.7490, 0.3745)
Bi (0.6255, 0.9998, 0.7510)
Bi (0.7490, 0.3745, 0.4998)
Bi (0.7510, 0.6255, 0.9998)
Bi (0.8745, 0.0002, 0.2510)

Results
- DFT total energy: -5.1926 eV/atom
- Relative energy among the computed polymorphs: 0 meV/atom
- Crystal system: cubic
- Energy of formation: -5.734 eV per formula unit